*A*
This record from Alexandria via LeMat-Bulk describes Er2Al3Ag after structural relaxation. The functional is PBE-GGA.

## Properties
The density of states at the Fermi level comes out at 5.62 states/eV/cell. The value obtained for the magnetization is 0.00 μB per formula unit. The calculation puts the calculated volume at 20.03 Å³ per atom.

extended XYZ file:
```
12
Lattice="5.596 0.000 0.000 -2.798 4.846 0.000 0.000 0.000 8.865" Properties=species:S:1:pos:R:3 pbc="T T T"
Er 0.000 3.231 0.627
Er 0.000 3.231 3.805
Er 2.798 1.615 5.059
Er 2.798 1.615 8.238
Al 0.000 1.657 6.649
Al -1.362 4.017 6.649
Al 1.435 0.829 2.216
Al 1.362 4.017 6.649
Al 4.160 0.829 2.216
Al 2.798 3.188 2.216
Ag 0.000 0.000 0.000
Ag 0.000 0.000 4.432
```

***

*B*
This record from Alexandria via LeMat-Bulk describes Er2Al3Ag after structural relaxation. The functional is PBE-GGA.

## Properties
The density of states at the Fermi level comes out at 6.83 states/eV/cell. The value obtained for the magnetization is 0.00 μB per formula unit. The calculation puts the calculated volume at 21.07 Å³ per atom.

extended XYZ file:
```
12
Lattice="0.000 4.559 7.922 3.501 0.000 7.922 3.501 4.559 0.000" Properties=species:S:1:pos:R:3 pbc="T T T"
Er 5.264 4.559 7.922
Er 1.750 2.280 3.961
Er 5.251 6.839 11.883
Er 1.737 4.559 7.922
Al 3.501 2.275 6.604
Al 3.501 2.275 9.239
Al 3.501 4.559 5.298
Al 3.501 4.559 10.545
Al 3.501 6.844 6.604
Al 3.501 6.844 9.239
Ag 3.501 4.559 2.659
Ag 3.501 4.559 13.184
```

***

Name the most stable of them. *A*.

***

*A*
This record from Alexandria via LeMat-Bulk describes Er4AlAg3 after structural relaxation. The functional is PBE-GGA.

## Properties
The density of states at the Fermi level comes out at 7.29 states/eV/cell. The value obtained for the magnetization is 0.00 μB per formula unit. The calculation puts the calculated volume at 24.04 Å³ per atom.

extended XYZ file:
```
8
Lattice="3.623 0.000 0.000 0.000 4.720 0.000 0.000 0.000 11.247" Properties=species:S:1:pos:R:3 pbc="T T T"
Er 0.000 0.000 0.000
Er 0.000 2.360 3.285
Er 1.812 0.000 5.568
Er 1.812 2.360 8.997
Al 0.000 0.000 8.133
Ag 0.000 2.360 6.440
Ag 1.812 0.000 2.543
Ag 1.812 2.360 0.787
```

***

*B*
This record from Alexandria via LeMat-Bulk describes Er4AlAg3 after structural relaxation. The functional is PBE-GGA.

## Properties
The density of states at the Fermi level comes out at 4.12 states/eV/cell. The value obtained for the magnetization is 0.00 μB per formula unit. The calculation puts the calculated volume at 23.29 Å³ per atom.

extended XYZ file:
```
8
Lattice="3.554 0.000 0.000 0.000 3.554 0.000 0.000 0.000 14.753" Properties=species:S:1:pos:R:3 pbc="T T T"
Er 0.000 0.000 1.847
Er 0.000 0.000 5.528
Er 0.000 0.000 9.225
Er 0.000 0.000 12.906
Al 1.777 1.777 0.000
Ag 1.777 1.777 3.677
Ag 1.777 1.777 7.376
Ag 1.777 1.777 11.076
```

***

Name the most stable of them. *B*.

***

*A*
This record from Alexandria via LeMat-Bulk describes Er2Al2Ag after structural relaxation. The functional is PBE-GGA.

## Properties
The density of states at the Fermi level comes out at 8.98 states/eV/cell. The value obtained for the magnetization is 0.00 μB per formula unit. The calculation puts the calculated volume at 22.33 Å³ per atom.

extended XYZ file:
```
10
Lattice="6.960 0.000 0.000 0.000 6.960 0.000 0.000 0.000 4.611" Properties=species:S:1:pos:R:3 pbc="T T T"
Er 1.167 2.313 0.000
Er 2.313 5.793 0.000
Er 4.647 1.167 0.000
Er 5.793 4.647 0.000
Al 0.937 4.417 2.305
Al 2.543 0.937 2.305
Al 4.417 6.023 2.305
Al 6.023 2.543 2.305
Ag 0.000 0.000 2.305
Ag 3.480 3.480 2.305
```

***

*B*
This record from Alexandria via LeMat-Bulk describes Er2Al2Ag after structural relaxation. The functional is PBE-GGA.

## Properties
The density of states at the Fermi level comes out at 6.14 states/eV/cell. The value obtained for the magnetization is 0.00 μB per formula unit. The calculation puts the calculated volume at 22.65 Å³ per atom.

extended XYZ file:
```
10
Lattice="5.378 -2.254 0.000 5.378 2.254 0.000 -4.770 0.000 9.340" Properties=species:S:1:pos:R:3 pbc="T T T"
Er -1.478 0.000 3.068
Er 1.456 0.000 0.940
Er 4.531 0.000 8.400
Er 7.465 0.000 6.272
Al 1.817 0.000 4.061
Al 4.582 0.000 1.078
Al 1.405 0.000 8.262
Al 4.169 0.000 5.280
Ag -0.146 0.000 6.084
Ag 6.133 0.000 3.256
```

***

Name the most stable of them. *B*.

***

*A*
This record from Alexandria via LeMat-Bulk describes EuAl2Ag after structural relaxation. The functional is PBE-GGA.

## Properties
The density of states at the Fermi level comes out at 1.79 states/eV/cell. The value obtained for the magnetization is 7.03 μB per formula unit. The calculation puts the calculated volume at 21.11 Å³ per atom.

extended XYZ file:
```
4
Lattice="3.324 0.000 0.000 0.000 3.324 0.000 0.000 0.000 7.641" Properties=species:S:1:pos:R:3 pbc="T T T"
Eu 0.000 0.000 0.000
Al 1.662 1.662 2.295
Al 1.662 1.662 5.346
Ag 0.000 0.000 3.821
```

***

*B*
This record from Alexandria via LeMat-Bulk describes EuAl2Ag after structural relaxation. The functional is PBE-GGA.

## Properties
The density of states at the Fermi level comes out at 10.60 states/eV/cell. The value obtained for the magnetization is 7.30 μB per formula unit. The calculation puts the calculated volume at 23.55 Å³ per atom.

extended XYZ file:
```
4
Lattice="2.214 1.278 5.548 -2.214 1.278 5.548 0.000 -2.556 5.548" Properties=species:S:1:pos:R:3 pbc="T T T"
Eu 0.000 0.000 0.000
Al 0.000 0.000 3.447
Al 0.000 0.000 13.197
Ag 0.000 0.000 8.322
```

***

Name the most stable of them. *B*.

***

*A*
This record from Alexandria via LeMat-Bulk describes AlAg2F after structural relaxation. The functional is PBE-GGA.

## Properties
The density of states at the Fermi level comes out at 0.58 states/eV/cell. The value obtained for the magnetization is 0.00 μB per formula unit. The calculation puts the calculated volume at 16.73 Å³ per atom.

extended XYZ file:
```
8
Lattice="-3.481 3.481 2.761 3.481 -3.481 2.761 3.481 3.481 -2.761" Properties=species:S:1:pos:R:3 pbc="T T T"
Al 0.000 0.000 0.000
Al 0.000 3.481 1.380
Ag 1.741 -1.598 2.070
Ag 1.883 1.741 0.690
Ag 1.741 5.080 -0.690
Ag 1.598 1.741 3.451
F 3.481 0.000 1.380
F 0.000 0.000 2.761
```

***

*B*
This record from Alexandria via LeMat-Bulk describes AlAg2F after structural relaxation. The functional is PBE-GGA.

## Properties
The density of states at the Fermi level comes out at 1.50 states/eV/cell. The value obtained for the magnetization is 0.00 μB per formula unit. The calculation puts the calculated volume at 16.15 Å³ per atom.

extended XYZ file:
```
4
Lattice="0.000 3.185 3.185 3.185 0.000 3.185 3.185 3.185 0.000" Properties=species:S:1:pos:R:3 pbc="T T T"
Al 0.000 0.000 0.000
Ag 1.592 1.592 1.592
Ag 4.777 4.777 4.777
F 3.185 3.185 3.185
```

***

Name the most stable of them. *A*.

***

*A*
This record from Alexandria via LeMat-Bulk describes AlAgF2 after structural relaxation. The functional is PBE-GGA.

## Properties
The density of states at the Fermi level comes out at 2.68 states/eV/cell. The value obtained for the magnetization is 0.00 μB per formula unit. The calculation puts the calculated volume at 17.22 Å³ per atom.

extended XYZ file:
```
8
Lattice="0.000 4.100 4.100 4.100 0.000 4.100 4.100 4.100 0.000" Properties=species:S:1:pos:R:3 pbc="T T T"
Al 1.025 1.025 1.025
Al 7.174 7.174 7.174
Ag 3.075 3.075 3.075
Ag 5.124 5.124 5.124
F 0.000 0.000 0.000
F 2.050 2.050 0.000
F 2.050 0.000 2.050
F 0.000 2.050 2.050
```

***

*B*
This record from Alexandria via LeMat-Bulk describes AlAgF2 after structural relaxation. The functional is PBE-GGA.

## Properties
The density of states at the Fermi level comes out at 0.00 states/eV/cell. The value obtained for the magnetization is 0.00 μB per formula unit. The calculation puts the calculated volume at 14.42 Å³ per atom.

extended XYZ file:
```
4
Lattice="0.000 3.066 3.066 3.066 0.000 3.066 3.066 3.066 0.000" Properties=species:S:1:pos:R:3 pbc="T T T"
Al 0.000 0.000 0.000
Ag 3.066 3.066 3.066
F 1.533 1.533 1.533
F 4.600 4.600 4.600
```

***

Name the most stable of them. *A*.